(i)
Here is Ac2Cd2Sn after structural relaxation from the Alexandria database. Energies are from PBE.

Unit cell a=4.1195 b=4.1195 c=19.9771 alpha=90.00 beta=90.00 gamma=90.00
Sites, in units of the cell vectors:
Ac  0.0000  0.0000  0.1006
Ac  0.0000  0.0000  0.8994
Ac  0.5000  0.5000  0.3994
Ac  0.5000  0.5000  0.6006
Cd  0.0000  0.5000  0.2500
Cd  0.0000  0.5000  0.7500
Cd  0.5000  0.0000  0.2500
Cd  0.5000  0.0000  0.7500
Sn  0.0000  0.0000  0.5000
Sn  0.5000  0.5000  0.0000

Output
Symmetry = I4/mmm (139)
Magnetization = 0.000 μB per formula unit
Volume = 339 Å³/cell

(ii)
Here is Ac2Cd2Sn after structural relaxation from the Alexandria database. Energies are from PBE.

Unit cell a=6.6440 b=6.6440 c=10.8383 alpha=110.22 beta=110.22 gamma=45.36
Sites, in units of the cell vectors:
Ac  0.0965  0.0965  0.3737
Ac  0.1664  0.1664  0.0463
Ac  0.8336  0.8336  0.9537
Ac  0.9035  0.9035  0.6263
Cd  0.4023  0.4023  0.3674
Cd  0.4953  0.4953  0.8602
Cd  0.5047  0.5047  0.1398
Cd  0.5977  0.5977  0.6326
Sn  0.2332  0.2332  0.7170
Sn  0.7668  0.7668  0.2830

Output
Symmetry = C2/m (12)
Magnetization = 0.000 μB per formula unit
Volume = 316 Å³/cell

Last place for stability: (i)

(i)
Here is Ac2Cd2Sn3 after structural relaxation from the Alexandria database. Energies are from PBE.

Unit cell a=12.0079 b=4.7790 c=7.7113 alpha=90.00 beta=107.01 gamma=90.00
Sites, in units of the cell vectors:
Ac  0.1324  0.0000  0.2800
Ac  0.3676  0.5000  0.7200
Ac  0.6324  0.5000  0.2800
Ac  0.8676  0.0000  0.7200
Cd  0.1666  0.0000  0.7464
Cd  0.3334  0.5000  0.2536
Cd  0.6666  0.5000  0.7464
Cd  0.8334  0.0000  0.2536
Sn  0.0000  0.5000  0.5000
Sn  0.1037  0.5000  0.9360
Sn  0.3963  0.0000  0.0640
Sn  0.5000  0.0000  0.5000
Sn  0.6037  0.0000  0.9360
Sn  0.8963  0.5000  0.0640

Output
Symmetry = C2/m (12)
Magnetization = 0.000 μB per formula unit
Volume = 423 Å³/cell

(ii)
Here is Ac2Cd2Sn3 after structural relaxation from the Alexandria database. Energies are from PBE.

Unit cell a=11.4595 b=11.4595 c=7.5538 alpha=90.00 beta=90.00 gamma=154.61
Sites, in units of the cell vectors:
Ac  0.0360  0.9640  0.7500
Ac  0.1576  0.8424  0.2500
Ac  0.8424  0.1576  0.7500
Ac  0.9640  0.0360  0.2500
Cd  0.3017  0.6983  0.0361
Cd  0.3017  0.6983  0.4639
Cd  0.6983  0.3017  0.5361
Cd  0.6983  0.3017  0.9639
Sn  0.2008  0.7992  0.7500
Sn  0.4312  0.5688  0.5538
Sn  0.4312  0.5688  0.9462
Sn  0.5688  0.4312  0.0538
Sn  0.5688  0.4312  0.4462
Sn  0.7992  0.2008  0.2500

Output
Symmetry = Cmcm (63)
Magnetization = 0.000 μB per formula unit
Volume = 425 Å³/cell

Last place for stability: (i)

(i)
Here is SrAcCd3 after structural relaxation from the Alexandria database. Energies are from PBE.

Unit cell a=15.5483 b=15.5483 c=5.1109 alpha=90.00 beta=90.00 gamma=165.03
Sites, in units of the cell vectors:
Sr  0.0724  0.9276  0.7500
Sr  0.9276  0.0724  0.2500
Ac  0.2103  0.7897  0.2500
Ac  0.7897  0.2103  0.7500
Cd  0.3294  0.6706  0.2500
Cd  0.3820  0.6180  0.7500
Cd  0.4765  0.5235  0.7500
Cd  0.5235  0.4765  0.2500
Cd  0.6180  0.3820  0.2500
Cd  0.6706  0.3294  0.7500

Output
Symmetry = Cmcm (63)
Magnetization = 0.000 μB per formula unit
Volume = 319 Å³/cell

(ii)
Here is SrAcCd3 after structural relaxation from the Alexandria database. Energies are from PBE.

Unit cell a=15.5043 b=15.5043 c=5.1820 alpha=90.00 beta=90.00 gamma=165.16
Sites, in units of the cell vectors:
Sr  0.2083  0.7917  0.7500
Sr  0.7917  0.2083  0.2500
Ac  0.0731  0.9269  0.2500
Ac  0.9269  0.0731  0.7500
Cd  0.3287  0.6713  0.7500
Cd  0.3813  0.6187  0.2500
Cd  0.4768  0.5232  0.2500
Cd  0.5232  0.4768  0.7500
Cd  0.6187  0.3813  0.7500
Cd  0.6713  0.3287  0.2500

Output
Symmetry = Cmcm (63)
Magnetization = 0.000 μB per formula unit
Volume = 319 Å³/cell

Last place for stability: (i)

(i)
Here is Sr2AcCd2 after structural relaxation from the Alexandria database. Energies are from PBE.

Unit cell a=7.0159 b=4.2504 c=13.7431 alpha=90.00 beta=97.49 gamma=90.00
Sites, in units of the cell vectors:
Sr  0.0573  0.2500  0.3620
Sr  0.2379  0.7500  0.9371
Sr  0.7621  0.2500  0.0629
Sr  0.9427  0.7500  0.6380
Ac  0.4732  0.2500  0.7079
Ac  0.5268  0.7500  0.2921
Cd  0.2593  0.2500  0.1359
Cd  0.3473  0.7500  0.5155
Cd  0.6527  0.2500  0.4845
Cd  0.7407  0.7500  0.8641

Output
Symmetry = P2_1/m (11)
Magnetization = 0.000 μB per formula unit
Volume = 406 Å³/cell

(ii)
Here is Sr2AcCd2 after structural relaxation from the Alexandria database. Energies are from PBE.

Unit cell a=4.1009 b=23.6055 c=4.0124 alpha=90.00 beta=90.00 gamma=90.00
Sites, in units of the cell vectors:
Sr  0.0000  0.1710  0.0000
Sr  0.0000  0.8290  0.0000
Sr  0.5000  0.3290  0.0000
Sr  0.5000  0.6710  0.0000
Ac  0.0000  0.0000  0.0000
Ac  0.5000  0.5000  0.0000
Cd  0.0000  0.4126  0.5000
Cd  0.0000  0.5874  0.5000
Cd  0.5000  0.0874  0.5000
Cd  0.5000  0.9126  0.5000

Output
Symmetry = Cmmm (65)
Magnetization = 0.064 μB per formula unit
Volume = 388 Å³/cell

Last place for stability: (i)

(i)
Here is SrAcCd6 after structural relaxation from the Alexandria database. Energies are from PBE.

Unit cell a=5.1268 b=7.3732 c=11.9708 alpha=90.00 beta=90.00 gamma=90.00
Sites, in units of the cell vectors:
Sr  0.0000  0.0000  0.0000
Sr  0.0000  0.5000  0.5000
Ac  0.5000  0.0000  0.6974
Ac  0.5000  0.5000  0.1974
Cd  0.0000  0.0000  0.5072
Cd  0.0000  0.2111  0.2660
Cd  0.0000  0.2889  0.7660
Cd  0.0000  0.5000  0.0072
Cd  0.0000  0.7111  0.7660
Cd  0.0000  0.7889  0.2660
Cd  0.5000  0.0000  0.1908
Cd  0.5000  0.2099  0.4303
Cd  0.5000  0.2901  0.9303
Cd  0.5000  0.5000  0.6908
Cd  0.5000  0.7099  0.9303
Cd  0.5000  0.7901  0.4303

Output
Symmetry = Amm2 (38)
Magnetization = 0.000 μB per formula unit
Volume = 453 Å³/cell

(ii)
Here is SrAcCd6 after structural relaxation from the Alexandria database. Energies are from PBE.

Unit cell a=4.9425 b=6.6686 c=6.8709 alpha=90.00 beta=90.00 gamma=90.00
Sites, in units of the cell vectors:
Sr  0.0000  0.0000  0.0000
Ac  0.5000  0.5000  0.8005
Cd  0.0000  0.2470  0.5377
Cd  0.0000  0.5000  0.1637
Cd  0.0000  0.7530  0.5377
Cd  0.5000  0.0000  0.6397
Cd  0.5000  0.2523  0.2686
Cd  0.5000  0.7477  0.2686

Output
Symmetry = Pmm2 (25)
Magnetization = 0.000 μB per formula unit
Volume = 226 Å³/cell

Last place for stability: (i)

(i)
Here is AcTb2Cd after structural relaxation from the Alexandria database. Energies are from PBE.

Unit cell a=7.9628 b=7.9628 c=7.9628 alpha=90.00 beta=90.00 gamma=90.00
Sites, in units of the cell vectors:
Ac  0.0000  0.0000  0.0000
Ac  0.0000  0.5000  0.5000
Ac  0.5000  0.0000  0.5000
Ac  0.5000  0.5000  0.0000
Tb  0.2500  0.2500  0.2500
Tb  0.2500  0.2500  0.7500
Tb  0.2500  0.7500  0.2500
Tb  0.2500  0.7500  0.7500
Tb  0.7500  0.2500  0.2500
Tb  0.7500  0.2500  0.7500
Tb  0.7500  0.7500  0.2500
Tb  0.7500  0.7500  0.7500
Cd  0.0000  0.0000  0.5000
Cd  0.0000  0.5000  0.0000
Cd  0.5000  0.0000  0.0000
Cd  0.5000  0.5000  0.5000

Output
Symmetry = Fm-3m (225)
Magnetization = 0.001 μB per formula unit
Volume = 505 Å³/cell

(ii)
Here is AcTb2Cd after structural relaxation from the Alexandria database. Energies are from PBE.

Unit cell a=3.7836 b=3.7836 c=8.9748 alpha=90.00 beta=90.00 gamma=90.00
Sites, in units of the cell vectors:
Ac  0.0000  0.0000  0.0000
Tb  0.5000  0.5000  0.2932
Tb  0.5000  0.5000  0.7068
Cd  0.0000  0.0000  0.5000

Output
Symmetry = P4/mmm (123)
Magnetization = 0.002 μB per formula unit
Volume = 128 Å³/cell

(iii)
Here is AcTb2Cd after structural relaxation from the Alexandria database. Energies are from PBE.

Unit cell a=4.9978 b=4.9978 c=5.1282 alpha=90.00 beta=90.00 gamma=90.00
Sites, in units of the cell vectors:
Ac  0.0000  0.0000  0.0000
Tb  0.0000  0.5000  0.5000
Tb  0.5000  0.0000  0.5000
Cd  0.5000  0.5000  0.0000

Output
Symmetry = P4/mmm (123)
Magnetization = 0.137 μB per formula unit
Volume = 128 Å³/cell

(iv)
Here is AcTb2Cd after structural relaxation from the Alexandria database. Energies are from PBE.

Unit cell a=3.7382 b=3.7382 c=33.1332 alpha=90.00 beta=90.00 gamma=120.00
Sites, in units of the cell vectors:
Ac  0.0000  0.0000  0.0000
Ac  0.3333  0.6667  0.6667
Ac  0.6667  0.3333  0.3333
Tb  0.0000  0.0000  0.5725
Tb  0.0000  0.0000  0.7605
Tb  0.3333  0.6667  0.2392
Tb  0.3333  0.6667  0.4272
Tb  0.6667  0.3333  0.0939
Tb  0.6667  0.3333  0.9058
Cd  0.0000  0.0000  0.1662
Cd  0.3333  0.6667  0.8329
Cd  0.6667  0.3333  0.4996

Output
Symmetry = R3m (160)
Magnetization = 0.000 μB per formula unit
Volume = 401 Å³/cell

Last place for stability: (i)

(i)
Here is AcCdTe after structural relaxation from the Alexandria database. Energies are from PBE.

Unit cell a=5.2465 b=5.2465 c=4.0665 alpha=90.00 beta=90.00 gamma=120.00
Sites, in units of the cell vectors:
Ac  0.0000  0.0000  0.0000
Cd  0.3333  0.6667  0.4960
Te  0.6667  0.3333  0.5014

Output
Symmetry = P3m1 (156)
Magnetization = 0.000 μB per formula unit
Volume = 97 Å³/cell

(ii)
Here is AcCdTe after structural relaxation from the Alexandria database. Energies are from PBE.

Unit cell a=9.3212 b=9.3212 c=9.3212 alpha=33.26 beta=33.26 gamma=33.26
Sites, in units of the cell vectors:
Ac  0.0797  0.0797  0.0797
Ac  0.9203  0.9203  0.9203
Cd  0.3324  0.3324  0.3324
Cd  0.6676  0.6676  0.6676
Te  0.2125  0.2125  0.2125
Te  0.7875  0.7875  0.7875

Output
Symmetry = R-3m (166)
Magnetization = 0.000 μB per formula unit
Volume = 217 Å³/cell

Last place for stability: (i)

(i)
Here is AcCdTe2 after structural relaxation from the Alexandria database. Energies are from PBE.

Unit cell a=7.9983 b=7.9983 c=7.9983 alpha=90.00 beta=90.00 gamma=90.00
Sites, in units of the cell vectors:
Ac  0.0000  0.0000  0.0000
Ac  0.0000  0.5000  0.5000
Ac  0.5000  0.0000  0.5000
Ac  0.5000  0.5000  0.0000
Cd  0.0000  0.0000  0.5000
Cd  0.0000  0.5000  0.0000
Cd  0.5000  0.0000  0.0000
Cd  0.5000  0.5000  0.5000
Te  0.2500  0.2500  0.2500
Te  0.2500  0.2500  0.7500
Te  0.2500  0.7500  0.2500
Te  0.2500  0.7500  0.7500
Te  0.7500  0.2500  0.2500
Te  0.7500  0.2500  0.7500
Te  0.7500  0.7500  0.2500
Te  0.7500  0.7500  0.7500

Output
Symmetry = Fm-3m (225)
Magnetization = 0.000 μB per formula unit
Volume = 512 Å³/cell

(ii)
Here is AcCdTe2 after structural relaxation from the Alexandria database. Energies are from PBE.

Unit cell a=5.4520 b=5.4520 c=4.1532 alpha=90.00 beta=90.00 gamma=90.00
Sites, in units of the cell vectors:
Ac  0.0000  0.0000  0.0000
Cd  0.5000  0.5000  0.0000
Te  0.0000  0.5000  0.5000
Te  0.5000  0.0000  0.5000

Output
Symmetry = P4/mmm (123)
Magnetization = 0.000 μB per formula unit
Volume = 123 Å³/cell

Last place for stability: (i)

(i)
Here is AcTlCd4 after structural relaxation from the Alexandria database. Energies are from PBE.

Unit cell a=9.3532 b=9.3532 c=7.5069 alpha=90.00 beta=90.00 gamma=150.07
Sites, in units of the cell vectors:
Ac  0.1248  0.8752  0.7500
Ac  0.8752  0.1248  0.2500
Tl  0.2303  0.7697  0.2500
Tl  0.7697  0.2303  0.7500
Cd  0.0604  0.9396  0.2500
Cd  0.3374  0.6626  0.5571
Cd  0.3374  0.6626  0.9429
Cd  0.5000  0.5000  0.0000
Cd  0.5000  0.5000  0.5000
Cd  0.6626  0.3374  0.0571
Cd  0.6626  0.3374  0.4429
Cd  0.9396  0.0604  0.7500

Output
Symmetry = Cmcm (63)
Magnetization = 0.000 μB per formula unit
Volume = 328 Å³/cell

(ii)
Here is AcTlCd4 after structural relaxation from the Alexandria database. Energies are from PBE.

Unit cell a=9.8013 b=9.8013 c=5.1913 alpha=90.00 beta=90.00 gamma=138.07
Sites, in units of the cell vectors:
Ac  0.1164  0.8836  0.7500
Ac  0.8836  0.1164  0.2500
Tl  0.3658  0.6342  0.2500
Tl  0.6342  0.3658  0.7500
Cd  0.0328  0.4504  0.7500
Cd  0.2289  0.3149  0.7500
Cd  0.3149  0.2289  0.2500
Cd  0.4504  0.0328  0.2500
Cd  0.5496  0.9672  0.7500
Cd  0.6851  0.7711  0.7500
Cd  0.7711  0.6851  0.2500
Cd  0.9672  0.5496  0.2500

Output
Symmetry = Cmcm (63)
Magnetization = 0.000 μB per formula unit
Volume = 333 Å³/cell

Last place for stability: (i)

(i)
Here is AcTl3Cd2 after structural relaxation from the Alexandria database. Energies are from PBE.

Unit cell a=9.3586 b=9.3586 c=9.3586 alpha=43.39 beta=43.39 gamma=43.39
Sites, in units of the cell vectors:
Ac  0.2143  0.2143  0.2143
Ac  0.7857  0.7857  0.7857
Tl  0.2404  0.7285  0.7285
Tl  0.2715  0.2715  0.7596
Tl  0.2715  0.7596  0.2715
Tl  0.7285  0.2404  0.7285
Tl  0.7285  0.7285  0.2404
Tl  0.7596  0.2715  0.2715
Cd  0.0000  0.0000  0.0000
Cd  0.0000  0.5000  0.5000
Cd  0.5000  0.0000  0.5000
Cd  0.5000  0.5000  0.0000

Output
Symmetry = R-3m (166)
Magnetization = 0.000 μB per formula unit
Volume = 351 Å³/cell

(ii)
Here is AcTl3Cd2 after structural relaxation from the Alexandria database. Energies are from PBE.

Unit cell a=8.8019 b=8.8019 c=6.7468 alpha=90.00 beta=90.00 gamma=45.81
Sites, in units of the cell vectors:
Ac  0.2217  0.7783  0.7500
Ac  0.7783  0.2217  0.2500
Tl  0.1540  0.2172  0.7500
Tl  0.2172  0.1540  0.2500
Tl  0.2799  0.7201  0.2500
Tl  0.7201  0.2799  0.7500
Tl  0.7828  0.8460  0.7500
Tl  0.8460  0.7828  0.2500
Cd  0.3496  0.3496  0.0000
Cd  0.3496  0.3496  0.5000
Cd  0.6504  0.6504  0.0000
Cd  0.6504  0.6504  0.5000

Output
Symmetry = Cmcm (63)
Magnetization = 0.000 μB per formula unit
Volume = 375 Å³/cell

Last place for stability: (ii)

(i)
Here is Ac3Tl2Cd3 after structural relaxation from the Alexandria database. Energies are from PBE.

Unit cell a=6.5313 b=6.5313 c=16.8182 alpha=90.00 beta=90.00 gamma=134.40
Sites, in units of the cell vectors:
Ac  0.0914  0.9086  0.6073
Ac  0.0914  0.9086  0.8927
Ac  0.3649  0.6351  0.7500
Ac  0.6351  0.3649  0.2500
Ac  0.9086  0.0914  0.1073
Ac  0.9086  0.0914  0.3927
Tl  0.2031  0.7969  0.1047
Tl  0.2031  0.7969  0.3953
Tl  0.7969  0.2031  0.6047
Tl  0.7969  0.2031  0.8953
Cd  0.3537  0.6463  0.2500
Cd  0.3864  0.6136  0.5347
Cd  0.3864  0.6136  0.9653
Cd  0.6136  0.3864  0.0347
Cd  0.6136  0.3864  0.4653
Cd  0.6463  0.3537  0.7500

Output
Symmetry = Cmcm (63)
Magnetization = 0.000 μB per formula unit
Volume = 513 Å³/cell

(ii)
Here is Ac3Tl2Cd3 after structural relaxation from the Alexandria database. Energies are from PBE.

Unit cell a=20.3254 b=4.5816 c=5.7032 alpha=90.00 beta=102.01 gamma=90.00
Sites, in units of the cell vectors:
Ac  0.0000  0.0000  0.0000
Ac  0.1398  0.0000  0.5972
Ac  0.3602  0.5000  0.4028
Ac  0.5000  0.5000  0.0000
Ac  0.6398  0.5000  0.5972
Ac  0.8602  0.0000  0.4028
Tl  0.2375  0.0000  0.1931
Tl  0.2625  0.5000  0.8069
Tl  0.7375  0.5000  0.1931
Tl  0.7625  0.0000  0.8069
Cd  0.0000  0.5000  0.5000
Cd  0.1298  0.5000  0.0853
Cd  0.3702  0.0000  0.9147
Cd  0.5000  0.0000  0.5000
Cd  0.6298  0.0000  0.0853
Cd  0.8702  0.5000  0.9147

Output
Symmetry = C2/m (12)
Magnetization = 0.000 μB per formula unit
Volume = 519 Å³/cell

Last place for stability: (ii)